No. 1
Compound: LaPmYEr3
Source: Alexandria via LeMat-Bulk
Functional: PBE-GGA
Structure: optimized geometry

Calculated values
energy of formation = 0.20 eV per atom
symmetry = C2/m, No. 12
volume = 33.0 A^3/atom

Unit cell a=5.6490 b=10.2136 c=7.1397 alpha=90.39 beta=90.00 gamma=106.05
Last column: nearest neighbours and their distance in Å.
Sites, in units of the cell vectors:
1 La 0.3549 0.7099 0.9665  1 Y 3.03, 2 Er 3.18-3.29
2 La 0.6451 0.2901 0.0335  1 Y 3.03, 2 Er 3.18-3.29
3 Pm 0.0513 0.1026 0.2672  3 Er 3.19-3.33
4 Pm 0.9487 0.8974 0.7328  3 Er 3.19-3.33
5 Y 0.6511 0.3021 0.4575  1 La 3.03, 2 Er 3.20-3.30
6 Y 0.3489 0.6979 0.5425  1 La 3.03, 2 Er 3.20-3.30
7 Er 0.8359 0.6717 0.2687  2 Y 3.44, 2 La 3.58, 4 Er 3.62-3.79
8 Er 0.7793 0.5586 0.7594  3 La 3.29-3.51, 3 Y 3.30-3.50, 1 Pm 3.33, 3 Er 3.62-3.68
9 Er 0.4763 0.9526 0.2646  1 La 3.18, 2 Pm 3.19, 1 Y 3.20, 1 Er 3.48
10 Er 0.2207 0.4414 0.2406  3 La 3.29-3.51, 3 Y 3.30-3.50, 1 Pm 3.33, 3 Er 3.62-3.68
11 Er 0.5237 0.0474 0.7354  1 La 3.18, 2 Pm 3.19, 1 Y 3.20, 1 Er 3.48
12 Er 0.1641 0.3283 0.7313  2 Y 3.44, 2 La 3.58, 4 Er 3.62-3.79



No. 2
Compound: LaPmYEr
Source: Alexandria via LeMat-Bulk
Functional: PBE-GGA
Structure: optimized geometry

Calculated values
energy of formation = 0.02 eV per atom
symmetry = P3m1, No. 156
volume = 33.5 A^3/atom

Unit cell a=3.6276 b=3.6276 c=11.7695 alpha=90.00 beta=90.00 gamma=120.00
Last column: nearest neighbours and their distance in Å.
Sites, in units of the cell vectors:
1 La 0.0000 0.0000 0.4285  6 La 3.63, 3 Er 3.64, 3 Pm 3.72
2 Pm 0.6667 0.3333 0.1677  3 Y 3.58, 6 Pm 3.63, 3 La 3.72
3 Y 0.3333 0.6667 0.9215  3 Er 3.51, 3 Pm 3.58, 6 Y 3.63
4 Er 0.6667 0.3333 0.6817  3 Y 3.51, 6 Er 3.63, 3 La 3.64



No. 3
Compound: La2Pm2Y4Er
Source: Alexandria via LeMat-Bulk
Functional: PBE-GGA
Structure: optimized geometry

Calculated values
energy of formation = 0.00 eV per atom
symmetry = C2/m, No. 12
volume = 33.6 A^3/atom

Unit cell a=3.6555 b=9.6455 c=9.7049 alpha=115.21 beta=90.00 gamma=100.92
Last column: nearest neighbours and their distance in Å.
Sites, in units of the cell vectors:
1 La 0.3355 0.6709 0.0009  3 Y 3.59-3.62, 2 Er 3.62, 3 Pm 3.62-3.64, 4 La 3.66-3.71
2 La 0.6645 0.3291 0.9991  3 Y 3.59-3.62, 2 Er 3.62, 3 Pm 3.62-3.64, 4 La 3.66-3.71
3 Pm 0.8525 0.7049 0.3360  7 Y 3.54-3.67, 3 La 3.62-3.64, 2 Pm 3.66
4 Pm 0.1475 0.2951 0.6640  7 Y 3.54-3.67, 3 La 3.62-3.64, 2 Pm 3.66
5 Y 0.8150 0.6300 0.6634  3 Pm 3.54-3.66, 6 Y 3.56-3.66, 1 Er 3.61, 2 La 3.62
6 Y 0.1850 0.3700 0.3366  3 Pm 3.54-3.66, 6 Y 3.56-3.66, 1 Er 3.61, 2 La 3.62
7 Y 0.5201 0.0402 0.3335  4 Pm 3.57-3.67, 1 La 3.59, 2 Er 3.59, 5 Y 3.61-3.66
8 Y 0.4799 0.9598 0.6665  4 Pm 3.57-3.67, 1 La 3.59, 2 Er 3.59, 5 Y 3.61-3.66
9 Er 0.0000 0.0000 0.0000  6 Y 3.59-3.61, 4 La 3.62, 2 Er 3.66



No. 4
Compound: LaPmYEr2
Source: Alexandria via LeMat-Bulk
Functional: PBE-GGA
Structure: optimized geometry

Calculated values
energy of formation = 0.35 eV per atom
symmetry = Cmcm, No. 63
volume = 35.2 A^3/atom

Unit cell a=7.2396 b=8.4133 c=7.1525 alpha=126.03 beta=90.00 gamma=90.00
Last column: nearest neighbours and their distance in Å.
Sites, in units of the cell vectors:
1 La 0.7500 0.7284 0.4569  1 Pm 3.04
2 La 0.2500 0.2716 0.5431  1 Pm 3.04
3 Pm 0.2500 0.0087 0.0174  1 La 3.04, 4 Er 3.19, 1 Y 3.31
4 Pm 0.7500 0.9913 0.9826  1 La 3.04, 4 Er 3.19, 1 Y 3.31
5 Y 0.2500 0.7228 0.4456  1 Pm 3.31, 4 Er 3.52, 2 La 3.62
6 Y 0.7500 0.2772 0.5544  1 Pm 3.31, 4 Er 3.52, 2 La 3.62
7 Er 0.5000 0.3122 0.0000  1 Er 3.16, 2 Pm 3.19, 2 Y 3.52
8 Er 0.0000 0.6878 0.0000  1 Er 3.16, 2 Pm 3.19, 2 Y 3.52
9 Er 0.5000 0.6878 0.0000  1 Er 3.16, 2 Pm 3.19, 2 Y 3.52
10 Er 0.0000 0.3122 0.0000  1 Er 3.16, 2 Pm 3.19, 2 Y 3.52



| no. | theoretical density (g/cm3) |
| --- | --- |
| 1 | 7.3 |
| 2 | 6.7 |
| 3 | 6.0 |
| 4 | 6.7 |